ErSnAuSe2S PBE relaxed; total energy = -4.6884 eV per atom; SG = No. 63
1.0
2.022 -6.810 0.000
2.022 6.810 0.000
0.000 0.000 10.222
Er Sn Au Se S
2 2 2 4 2
Direct
0.000 0.000 0.000
0.000 0.000 0.500
0.254 0.746 0.750
0.746 0.254 0.250
0.469 0.531 0.250
0.531 0.469 0.750
0.352 0.648 0.050
0.352 0.648 0.450
0.648 0.352 0.550
0.648 0.352 0.950
0.088 0.912 0.250
0.912 0.088 0.750

***

ErSnAuS3 PBE relaxed; energy relative to the lowest polymorph listed for this composition = 0 meV per atom; SG = No. 62
1.0
10.241 0.000 0.000
0.000 4.023 0.000
0.000 0.000 14.301
Er Sn Au S
4 4 4 12
Direct
0.024 0.250 0.238
0.476 0.750 0.738
0.524 0.250 0.262
0.976 0.750 0.762
0.240 0.750 0.440
0.260 0.250 0.940
0.740 0.750 0.060
0.760 0.250 0.560
0.234 0.250 0.600
0.266 0.750 0.100
0.734 0.250 0.900
0.766 0.750 0.400
0.010 0.250 0.632
0.037 0.750 0.112
0.233 0.750 0.813
0.267 0.250 0.313
0.463 0.250 0.612
0.490 0.750 0.132
0.510 0.250 0.868
0.537 0.750 0.388
0.733 0.750 0.687
0.767 0.250 0.187
0.963 0.250 0.888
0.990 0.750 0.368

***

ErSnAuS3 PBE relaxed; energy relative to the lowest polymorph listed for this composition = 39 meV per atom; SG = No. 62
1.0
11.523 0.000 0.000
0.000 3.962 0.000
0.000 0.000 12.767
Er Sn Au S
4 4 4 12
Direct
0.024 0.250 0.152
0.476 0.750 0.652
0.524 0.250 0.348
0.976 0.750 0.848
0.156 0.250 0.567
0.344 0.750 0.067
0.656 0.250 0.933
0.844 0.750 0.433
0.208 0.750 0.384
0.292 0.250 0.884
0.708 0.750 0.116
0.792 0.250 0.616
0.026 0.750 0.300
0.100 0.250 0.945
0.243 0.750 0.683
0.257 0.250 0.183
0.400 0.750 0.445
0.474 0.250 0.800
0.526 0.750 0.200
0.600 0.250 0.555
0.743 0.750 0.817
0.757 0.250 0.317
0.900 0.750 0.055
0.974 0.250 0.700

***

ErSnAuS3 PBE relaxed; energy relative to the lowest polymorph listed for this composition = 0 meV per atom; SG = No. 63
1.0
2.020 -7.086 0.000
2.020 7.086 0.000
0.000 0.000 10.223
Er Sn Au S
2 2 2 6
Direct
0.000 0.000 0.000
0.000 0.000 0.500
0.307 0.693 0.750
0.693 0.307 0.250
0.351 0.649 0.250
0.649 0.351 0.750
0.064 0.936 0.250
0.370 0.630 0.022
0.370 0.630 0.478
0.630 0.370 0.522
0.630 0.370 0.978
0.936 0.064 0.750

***

ErSnAuS3 PBE relaxed; energy relative to the lowest polymorph listed for this composition = 102 meV per atom; SG = No. 11
1.0
7.665 0.000 0.000
0.000 3.971 0.000
-2.907 0.000 9.151
Er Sn Au S
2 2 2 6
Direct
0.196 0.250 0.165
0.804 0.750 0.835
0.216 0.750 0.707
0.784 0.250 0.293
0.363 0.750 0.425
0.637 0.250 0.575
0.073 0.250 0.871
0.170 0.250 0.456
0.442 0.750 0.190
0.558 0.250 0.810
0.830 0.750 0.544
0.927 0.750 0.129

***

ErSnAuS3 PBE relaxed; energy relative to the lowest polymorph listed for this composition = 118 meV per atom; SG = No. 12
1.0
8.699 -1.934 0.000
8.699 1.934 0.000
-1.864 0.000 7.994
Er Sn Au S
2 2 2 6
Direct
0.164 0.164 0.091
0.836 0.836 0.909
0.131 0.131 0.581
0.869 0.869 0.419
0.458 0.458 0.776
0.542 0.542 0.224
0.000 0.000 0.000
0.311 0.311 0.669
0.326 0.326 0.141
0.500 0.500 0.500
0.674 0.674 0.859
0.689 0.689 0.331

***

ErSnTeAuS2 PBE relaxed; total energy = -4.6711 eV per atom; SG = No. 63
1.0
2.032 -6.881 0.000
2.032 6.881 0.000
0.000 0.000 11.267
Er Sn Te Au S
2 2 2 2 4
Direct
0.000 0.000 0.000
0.000 0.000 0.500
0.235 0.765 0.750
0.765 0.235 0.250
0.099 0.901 0.250
0.901 0.099 0.750
0.430 0.570 0.250
0.570 0.430 0.750
0.373 0.627 0.048
0.373 0.627 0.452
0.627 0.373 0.548
0.627 0.373 0.952

***

SrErAuS3 PBE relaxed; energy relative to the lowest polymorph listed for this composition = 11 meV per atom; SG = No. 63
1.0
2.000 -6.648 0.000
2.000 6.648 0.000
0.000 0.000 10.259
Sr Er Au S
2 2 2 6
Direct
0.249 0.751 0.750
0.751 0.249 0.250
0.000 0.000 0.000
0.000 0.000 0.500
0.464 0.536 0.250
0.536 0.464 0.750
0.087 0.913 0.250
0.360 0.640 0.051
0.360 0.640 0.449
0.640 0.360 0.551
0.640 0.360 0.949
0.913 0.087 0.750